1.
The following is a DFT calculation (GGA-PBE) of crystalline Pm8Al2Rh at its relaxed geometry.

Cell: 5.135 6.827 9.651 Å, 101.57 105.43 90.00°
Positions (direct):
1 Pm 0.350 0.032 0.700
2 Pm 0.650 0.968 0.300
3 Pm 0.021 0.778 0.041
4 Pm 0.979 0.222 0.959
5 Pm 0.792 0.703 0.583
6 Pm 0.208 0.297 0.417
7 Pm 0.594 0.453 0.187
8 Pm 0.406 0.547 0.813
9 Rh 0.500 0.000 0.000
10 Al 0.811 0.255 0.622
11 Al 0.189 0.745 0.378

Values from the calculation:
As for the space group: C2/m (12). Its density of states at the Fermi level is 9.79 states/eV/f.u. The energy of formation from the pure elements comes out at -257 meV per atom. Its polymorph energy (0 for the lowest one) is 0 meV/atom.


2.
The following is a DFT calculation (GGA-PBE) of crystalline PmAl5Rh at its relaxed geometry.

Cell: 4.319 4.319 7.024 Å, 90.00 90.00 90.00°
Positions (direct):
1 Al 0.500 0.500 0.000
2 Al 0.500 0.000 0.693
3 Al 0.000 0.500 0.307
4 Al 0.000 0.500 0.693
5 Al 0.500 0.000 0.307
6 Rh 0.000 0.000 0.500
7 Pm 0.000 0.000 0.000

Values from the calculation:
As for the space group: P4/mmm (123). Its density of states at the Fermi level is 1.47 states/eV/f.u. The energy of formation from the pure elements comes out at -609 meV per atom.


3.
The following is a DFT calculation (GGA-PBE) of crystalline Pm2Al9Rh3 at its relaxed geometry.

Cell: 7.634 7.634 10.554 Å, 89.94 111.00 120.40°
Positions (direct):
1 Al 0.880 0.130 0.750
2 Al 0.328 0.287 0.248
3 Al 0.217 0.525 0.573
4 Al 0.539 0.080 0.252
5 Al 0.548 0.356 0.073
6 Al 0.461 0.920 0.748
7 Al 0.212 0.693 0.070
8 Al 0.878 0.858 0.570
9 Al 0.788 0.307 0.930
10 Al 0.672 0.713 0.752
11 Al 0.783 0.475 0.427
12 Al 0.535 0.184 0.550
13 Al 0.452 0.644 0.927
14 Al 0.866 0.015 0.050
15 Al 0.120 0.870 0.250
16 Al 0.134 0.985 0.950
17 Al 0.465 0.816 0.450
18 Al 0.122 0.142 0.430
19 Rh 0.841 0.171 0.499
20 Rh 0.500 0.500 0.500
21 Rh 0.500 0.000 0.000
22 Rh 0.828 0.658 0.999
23 Rh 0.172 0.342 0.001
24 Rh 0.159 0.829 0.501
25 Pm 0.663 0.752 0.250
26 Pm 0.337 0.248 0.750
27 Pm 0.997 0.586 0.750
28 Pm 0.003 0.414 0.250

Values from the calculation:
As for the space group: C2/c (15). Its density of states at the Fermi level is 6.19 states/eV/f.u. The energy of formation from the pure elements comes out at -826 meV per atom.


4.
The following is a DFT calculation (GGA-PBE) of crystalline Pm2Al3Rh at its relaxed geometry.

Cell: 5.647 5.647 8.821 Å, 90.00 90.00 120.00°
Positions (direct):
1 Rh 0.000 0.000 0.500
2 Rh 0.000 0.000 0.000
3 Al 0.677 0.839 0.250
4 Al 0.323 0.161 0.750
5 Al 0.839 0.161 0.750
6 Al 0.161 0.839 0.250
7 Al 0.161 0.323 0.250
8 Al 0.839 0.677 0.750
9 Pm 0.667 0.333 0.444
10 Pm 0.667 0.333 0.056
11 Pm 0.333 0.667 0.944
12 Pm 0.333 0.667 0.556

Values from the calculation:
As for the space group: P6_3/mmc (194). Its density of states at the Fermi level is 5.14 states/eV/f.u. The energy of formation from the pure elements comes out at -663 meV per atom. Its polymorph energy (0 for the lowest one) is 0 meV/atom.


5.
The following is a DFT calculation (GGA-PBE) of crystalline Pm3AlRh2 at its relaxed geometry.

Cell: 4.224 8.178 10.337 Å, 68.09 78.21 75.03°
Positions (direct):
1 Al 0.567 0.513 0.352
2 Al 0.433 0.487 0.648
3 Rh 0.142 0.528 0.187
4 Rh 0.390 0.792 0.428
5 Rh 0.858 0.472 0.813
6 Rh 0.610 0.208 0.572
7 Pm 0.789 0.814 0.607
8 Pm 0.654 0.693 0.000
9 Pm 0.048 0.132 0.772
10 Pm 0.346 0.307 0.000
11 Pm 0.952 0.868 0.228
12 Pm 0.211 0.186 0.393

Values from the calculation:
As for the space group: C2/m (12). Its density of states at the Fermi level is 3.59 states/eV/f.u. The energy of formation from the pure elements comes out at -551 meV per atom. Its polymorph energy (0 for the lowest one) is 83 meV/atom.


6.
The following is a DFT calculation (GGA-PBE) of crystalline Pm4AlRh4 at its relaxed geometry.

Cell: 5.650 8.562 8.562 Å, 90.00 90.00 90.00°
Positions (direct):
1 Pm 0.620 0.684 0.458
2 Pm 0.380 0.184 0.958
3 Pm 0.120 0.542 0.184
4 Pm 0.880 0.042 0.684
5 Pm 0.620 0.816 0.042
6 Pm 0.880 0.458 0.816
7 Pm 0.120 0.958 0.316
8 Pm 0.380 0.316 0.542
9 Rh 0.618 0.493 0.141
10 Rh 0.618 0.007 0.359
11 Rh 0.882 0.359 0.493
12 Rh 0.382 0.993 0.641
13 Rh 0.118 0.859 0.993
14 Rh 0.882 0.141 0.007
15 Rh 0.382 0.507 0.859
16 Rh 0.118 0.641 0.507
17 Al 0.250 0.750 0.750
18 Al 0.750 0.250 0.250

Values from the calculation:
As for the space group: P4_2/n (86). Its density of states at the Fermi level is 5.62 states/eV/f.u. The energy of formation from the pure elements comes out at -662 meV per atom.